# 1
VASP calculation (PBE) on an optimized crystal structure of LiZn2Ag7Sb2.

- E_form (uncorrected): 16.6 meV/atom

a = 4.226 Å, b = 4.226 Å, c = 14.138 Å
α = 72.85°, β = 72.85°, γ = 90.39°
Atoms (fractional coordinates):
Ag 0.849 0.348 0.152
Ag 0.766 0.766 0.500
Li 0.000 0.000 0.000
Ag 0.234 0.234 0.500
Ag 0.500 0.500 0.000
Ag 0.151 0.652 0.848
Ag 0.348 0.849 0.152
Sb 0.685 0.685 0.316
Sb 0.315 0.315 0.684
Zn 0.810 0.810 0.689
Zn 0.190 0.190 0.311
Ag 0.652 0.151 0.848

=====

# 2
VASP calculation (PBE) on an optimized crystal structure of Li2ZnAg7Sb2.

- E_form (uncorrected): -79.3 meV/atom

a = 4.153 Å, b = 4.153 Å, c = 14.367 Å
α = 73.45°, β = 73.45°, γ = 90.42°
Atoms (fractional coordinates):
Ag 0.154 0.654 0.846
Zn 0.000 0.000 0.000
Sb 0.686 0.686 0.313
Sb 0.314 0.314 0.687
Ag 0.500 0.500 0.000
Ag 0.846 0.346 0.154
Ag 0.246 0.246 0.500
Ag 0.654 0.154 0.846
Ag 0.346 0.846 0.154
Li 0.189 0.189 0.310
Li 0.811 0.811 0.690
Ag 0.754 0.754 0.500

=====

# 3
VASP calculation (PBE) on an optimized crystal structure of Li2ScAg.

- Energy above the most stable polymorph in this dataset: 40 meV/atom
- Formation energy from the elements: -0.03 eV/atom

a = 5.271 Å, b = 5.271 Å, c = 5.271 Å
α = 134.34°, β = 134.34°, γ = 66.56°
Atoms (fractional coordinates):
Ag 0.750 0.250 0.500
Li 0.000 0.000 0.000
Li 0.500 0.500 0.000
Sc 0.250 0.750 0.500

=====

# 4
VASP calculation (PBE) on an optimized crystal structure of LiScAg.

- Energy above the most stable polymorph in this dataset: 563 meV/atom
- Formation energy from the elements: 0.39 eV/atom

a = 4.600 Å, b = 4.600 Å, c = 4.600 Å
α = 60.00°, β = 60.00°, γ = 60.00°
Atoms (fractional coordinates):
Ag 0.000 0.000 0.000
Sc 0.750 0.750 0.750
Li 0.500 0.500 0.500

=====

# 5
VASP calculation (PBE) on an optimized crystal structure of LiScAg4.

- Energy above the most stable polymorph in this dataset: 0 meV/atom
- Formation energy from the elements: -0.18 eV/atom

a = 3.419 Å, b = 5.144 Å, c = 7.170 Å
α = 103.66°, β = 76.21°, γ = 70.59°
Atoms (fractional coordinates):
Ag 0.351 0.979 0.319
Li 0.000 0.000 0.000
Ag 0.808 0.537 0.846
Ag 0.649 0.021 0.681
Sc 0.500 0.500 0.500
Ag 0.192 0.463 0.154

=====

# 6
VASP calculation (PBE) on an optimized crystal structure of LiSc4Ag5.

- Formation energy from the elements: -0.26 eV/atom

a = 3.398 Å, b = 3.398 Å, c = 16.851 Å
α = 90.00°, β = 90.00°, γ = 90.00°
Atoms (fractional coordinates):
Ag 0.500 0.500 0.706
Sc 0.000 0.000 0.811
Ag 0.500 0.500 0.294
Sc 0.000 0.000 0.189
Ag 0.500 0.500 0.912
Ag 0.500 0.500 0.500
Li 0.000 0.000 0.000
Sc 0.000 0.000 0.603
Ag 0.500 0.500 0.088
Sc 0.000 0.000 0.397

=====

# 7
VASP calculation (PBE) on an optimized crystal structure of Li2ScAg.

- Energy above the most stable polymorph in this dataset: 110 meV/atom
- Formation energy from the elements: 0.04 eV/atom

a = 9.703 Å, b = 9.703 Å, c = 9.703 Å
α = 18.14°, β = 18.14°, γ = 18.14°
Atoms (fractional coordinates):
Sc 0.250 0.250 0.250
Ag 0.750 0.750 0.750
Li 0.010 0.010 0.010
Li 0.490 0.490 0.490

=====

# 8
VASP calculation (PBE) on an optimized crystal structure of LiScAg.

- Energy above the most stable polymorph in this dataset: 113 meV/atom
- Formation energy from the elements: -0.06 eV/atom

a = 4.601 Å, b = 4.601 Å, c = 3.110 Å
α = 90.00°, β = 90.00°, γ = 120.00°
Atoms (fractional coordinates):
Li 0.667 0.333 0.168
Ag 0.000 0.000 0.165
Sc 0.333 0.667 0.667

=====

Record-wise DFT total energy values, in eV/atom: -2.71 -2.85 -3.28 -3.31 -3.46 -4.40 -3.21 -3.76
Record-wise calculated volume values, in A^3/atom: 19.11 18.89 18.43 22.94 18.07 19.46 19.33 19.00